Record 1
A geometry-optimized Na2CrAu structure, computed with PBE.

Raw total energy = -3.510 eV/atom
Formation enthalpy at 0 K = 0.38 eV/atom
Energy relative to the lowest polymorph listed for this composition = 0.0 meV per atom

a b c (Å): 4.994 4.994 4.994
angles (deg): 60.00 60.00 60.00
Sites, in units of the cell vectors:
Na  0.250  0.250  0.250
Na  0.750  0.750  0.750
Cr  0.000  0.000  0.000
Au  0.500  0.500  0.500

***

Record 2
A geometry-optimized NaCr3Au structure, computed with PBE.

Raw total energy = -5.562 eV/atom
Formation enthalpy at 0 K = 1.13 eV/atom
Energy relative to the lowest polymorph listed for this composition = 0.0 meV per atom

a b c (Å): 5.150 5.150 5.150
angles (deg): 90.00 90.00 90.00
Sites, in units of the cell vectors:
Na  0.000  0.000  0.000
Cr  0.000  0.500  0.500
Cr  0.500  0.000  0.500
Cr  0.500  0.500  0.000
Au  0.500  0.500  0.500

***

Record 3
A geometry-optimized Na2CrAu structure, computed with PBE.

Raw total energy = -3.473 eV/atom
Formation enthalpy at 0 K = 0.41 eV/atom
Energy relative to the lowest polymorph listed for this composition = 36.8 meV per atom

a b c (Å): 6.552 6.552 6.552
angles (deg): 100.49 100.49 129.49
Sites, in units of the cell vectors:
Na  0.094  0.625  0.969
Na  0.375  0.344  0.469
Na  0.656  0.125  0.031
Na  0.875  0.906  0.531
Cr  0.250  0.750  0.500
Cr  0.500  0.500  0.000
Au  0.000  0.000  0.000
Au  0.750  0.250  0.500